Record 1
Crystalline LaSc2Cu at its relaxed geometry. Source: Alexandria via LeMat-Bulk, functional GGA-PBE.

Values from the calculation:
- ΔE_f (meV per atom) = 139
- magnetic moment (μB/f.u.) = 0.00
- VASP energy (eV per cell) = -42.3
- relative energy among the computed polymorphs (eV per formula unit) = 0.87

a = 4.5644 Å, b = 4.5644 Å, c = 8.9946 Å
α = 90.00°, β = 90.00°, γ = 90.00°
With the nearest neighbours (Å) after each atom.
Space group I-4m2 (No. 119)
Unique sites:
La 0.0000 0.0000 0.0000 [2 per cell]  4 Cu 3.20, 8 Sc 3.20-3.23
Sc 0.0000 0.0000 0.5000 [2 per cell]  4 Cu 3.20, 4 Sc 3.20, 4 La 3.23
Sc 0.0000 0.5000 0.7500 [2 per cell]  4 La 3.20, 4 Sc 3.20, 4 Cu 3.23
Cu 0.0000 0.5000 0.2500 [2 per cell]  4 La 3.20, 8 Sc 3.20-3.23

---

Record 2
Crystalline Nd3Mg2Pt3 at its relaxed geometry. Source: Alexandria via LeMat-Bulk, functional GGA-PBE.

Values from the calculation:
- ΔE_f (meV per atom) = -912
- magnetic moment (μB/f.u.) = 0.00
- VASP energy (eV per cell) = -85.8

a = 8.5665 Å, b = 8.5665 Å, c = 5.9107 Å
α = 90.00°, β = 90.00°, γ = 120.00°
With the nearest neighbours (Å) after each atom.
Space group P6_3/mcm (No. 193)
Unique sites:
Nd 0.0000 0.2716 0.2500 [6 per cell]  5 Pt 2.89-3.13
Mg 0.3333 0.6667 0.0000 [4 per cell]  2 Mg 2.96, 6 Pt 3.03
Pt 0.0000 0.3913 0.7500 [6 per cell]  5 Nd 2.89-3.13, 4 Mg 3.03

---

Record 3
Crystalline Lu2Ga3Ni14 at its relaxed geometry. Source: Alexandria via LeMat-Bulk, functional GGA-PBE.

Values from the calculation:
- ΔE_f (meV per atom) = -361
- magnetic moment (μB/f.u.) = 0.00
- VASP energy (eV per cell) = -211.9

a = 8.3352 Å, b = 8.3352 Å, c = 8.1025 Å
α = 90.00°, β = 90.00°, γ = 120.00°
With the nearest neighbours (Å) after each atom.
Space group P6_3/mmc (No. 194)
Unique sites:
Lu 0.0000 0.0000 0.2500 [2 per cell]  12 Ni 2.88-3.00
Lu 0.3333 0.6667 0.2500 [2 per cell]  14 Ni 2.86-3.04, 6 Ga 3.15
Ga 0.0000 0.5000 0.0000 [6 per cell]  10 Ni 2.42-2.55
Ni 0.0394 0.3636 0.7500 [12 per cell]  6 Ni 2.37-2.60, 2 Ga 2.42
Ni 0.1651 0.3302 0.0244 [12 per cell]  7 Ni 2.42-2.64, 2 Ga 2.43
Ni 0.3333 0.6667 0.6030 [4 per cell]  4 Ni 2.38-2.64, 3 Ga 2.55

---

Record 4
Crystalline Er3Ga2Hg at its relaxed geometry. Source: Alexandria via LeMat-Bulk, functional GGA-PBE.

Values from the calculation:
- ΔE_f (meV per atom) = -536
- magnetic moment (μB/f.u.) = 0.00
- VASP energy (eV per cell) = -23.3

a = 3.4748 Å, b = 3.4748 Å, c = 11.4754 Å
α = 90.00°, β = 90.00°, γ = 90.00°
With the nearest neighbours (Å) after each atom.
Space group P4/mmm (No. 123)
Unique sites:
Er 0.0000 0.0000 0.0000 [1 per cell]  8 Ga 3.09
Er 0.0000 0.0000 0.3205 [2 per cell]  4 Ga 3.05, 4 Hg 3.21
Ga 0.5000 0.5000 0.1633 [2 per cell]  8 Er 3.05-3.09
Hg 0.5000 0.5000 0.5000 [1 per cell]  8 Er 3.21, 4 Hg 3.47

---

Record 5
Crystalline CoTc2Te at its relaxed geometry. Source: Alexandria via LeMat-Bulk, functional GGA-PBE.

Values from the calculation:
- magnetic moment (μB/f.u.) = 0.53
- VASP energy (eV per cell) = -58.9

a = 8.9024 Å, b = 3.0306 Å, c = 4.6444 Å
α = 90.00°, β = 98.48°, γ = 90.00°
With the nearest neighbours (Å) after each atom.
Space group Cm (No. 8)
Unique sites:
Co 0.0000 0.0000 0.0000 [2 per cell]  5 Tc 2.56-2.69, 1 Te 2.58
Tc 0.0240 0.5000 0.5642 [2 per cell]  2 Co 2.56, 3 Tc 2.66-2.68, 1 Te 2.73
Tc 0.2624 0.0000 0.7772 [2 per cell]  3 Tc 2.66-2.68, 3 Co 2.68-2.69, 4 Te 2.69-2.86
Te 0.2619 0.5000 0.2554 [2 per cell]  3 Co 2.58-2.89, 5 Tc 2.69-2.86

---

Record 6
Crystalline Al2SnP at its relaxed geometry. Source: Alexandria via LeMat-Bulk, functional GGA-PBE.

Values from the calculation:
- ΔE_f (meV per atom) = 291
- magnetic moment (μB/f.u.) = 0.00
- VASP energy (eV per cell) = -62.9
- relative energy among the computed polymorphs (eV per formula unit) = 1.63

a = 6.7266 Å, b = 6.7266 Å, c = 6.7266 Å
α = 90.00°, β = 90.00°, γ = 90.00°
With the nearest neighbours (Å) after each atom.
Space group Fm-3m (No. 225)
Unique sites:
Al 0.2500 0.2500 0.2500 [8 per cell]  4 Sn 2.91, 4 P 2.91
Sn 0.0000 0.0000 0.0000 [4 per cell]  8 Al 2.91
P 0.0000 0.0000 0.5000 [4 per cell]  8 Al 2.91

---

Record 7
Crystalline Pr2HPt at its relaxed geometry. Source: Alexandria via LeMat-Bulk, functional GGA-PBE.

Values from the calculation:
- magnetic moment (μB/f.u.) = 0.00
- VASP energy (eV per cell) = -63.4
- relative energy among the computed polymorphs (eV per formula unit) = 0.51

a = 3.9581 Å, b = 3.9581 Å, c = 21.0886 Å
α = 90.00°, β = 90.00°, γ = 120.00°
With the nearest neighbours (Å) after each atom.
Space group R3m (No. 160, hexagonal axes)
Unique sites:
Pr 0.0000 0.0000 0.0000 [3 per cell]  3 H 2.83, 3 Pt 2.90
Pr 0.0000 0.0000 0.1641 [3 per cell]  3 Pt 2.90, 3 H 2.91
H 0.0000 0.0000 0.4122 [3 per cell]  6 Pr 2.83-2.91
Pt 0.0000 0.0000 0.5818 [3 per cell]  6 Pr 2.90

---

Record 8
Crystalline Ce5Zn2Os2 at its relaxed geometry. Source: Alexandria via LeMat-Bulk, functional GGA-PBE.

Values from the calculation:
- ΔE_f (meV per atom) = -102
- magnetic moment (μB/f.u.) = 1.10
- VASP energy (eV per cell) = -222.4

a = 16.2875 Å, b = 7.8148 Å, c = 6.9395 Å
α = 90.00°, β = 90.00°, γ = 90.00°
With the nearest neighbours (Å) after each atom.
Space group Ima2 (No. 46)
Unique sites:
Ce 0.0788 0.1873 0.0000 [8 per cell]  2 Os 2.70-2.92, 1 Zn 2.99
Ce 0.1530 0.7308 0.9225 [8 per cell]  2 Os 2.75-2.79
Ce 0.2500 0.0753 0.6632 [4 per cell]  2 Os 2.87, 1 Zn 3.05
Zn 0.0000 0.0000 0.3359 [4 per cell]  2 Os 2.78, 4 Ce 2.99-3.04
Zn 0.2500 0.0347 0.1682 [4 per cell]  7 Ce 3.05-3.32
Os 0.0801 0.5203 0.1894 [8 per cell]  1 Os 2.63, 5 Ce 2.70-2.92, 1 Zn 2.78